Record 1
DFT (PBE) results for crystalline HoZrAu4 at its relaxed geometry.

Results
E_form ... -722 meV/atom
Space group ... P4/mmm, No. 123

Cell and atoms, written as extended XYZ:
```
6
Lattice="3.6654 0.0000 0.0001 0.0000 3.6654 0.0001 -0.0003 -0.0003 8.9483" Properties=species:S:1:pos:R:3 pbc="T T T"
Ho 1.8326 1.8326 4.4743
Zr 0.0000 0.0000 0.0000
Au 1.8324 1.8324 7.5017
Au 1.8328 1.8328 1.4468
Au 3.6652 3.6652 6.0074
Au 0.0000 0.0000 2.9412
```

***

Record 2
DFT (PBE) results for crystalline KTaRu at its relaxed geometry.

Results
E_form ... 2825 meV/atom
Energy above the lowest structure with this stoichiometry ... 2266 meV per atom
Space group ... F-43m, No. 216

Cell and atoms, written as extended XYZ:
```
3
Lattice="-0.3869 -4.3270 1.1369 2.7724 -3.0475 -1.7865 3.1456 -1.9415 2.5496" Properties=species:S:1:pos:R:3 pbc="T T T"
K 4.1484 -6.9869 1.4250
Ru 0.0000 0.0000 0.0000
Ta 2.7656 -4.6580 0.9500
```

***

Record 3
DFT (PBE) results for crystalline CaTmCl at its relaxed geometry.

Results
Energy relative to the elements, uncorrected ... -825 meV per atom
Space group ... Amm2, No. 38

Cell and atoms, written as extended XYZ:
```
6
Lattice="-2.4808 1.0638 2.4059 1.4653 -3.2958 0.2511 10.4374 5.2827 8.4266" Properties=species:S:1:pos:R:3 pbc="T T T"
Ca -1.1902 -0.0852 1.5276
Ca 5.3435 1.1085 5.0198
Tm 1.8752 1.4714 4.0002
Tm 6.1811 3.6507 7.4765
Cl 9.0461 2.9781 8.0110
Cl 1.6416 -0.7695 2.0330
```

***

Record 4
DFT (PBE) results for crystalline Ti3ZnN at its relaxed geometry.

Results
Energy above the lowest structure with this stoichiometry ... 406 meV per atom
Energy relative to the elements, uncorrected ... -494 meV per atom
Space group ... Fd-3m, No. 227

Cell and atoms, written as extended XYZ:
```
20
Lattice="0.0000 5.4827 5.4827 5.4827 0.0000 5.4827 5.4827 5.4827 0.0000" Properties=species:S:1:pos:R:3 pbc="T T T"
Zn 6.8534 6.8534 6.8534
Zn 4.1120 6.8534 4.1120
Zn 6.8534 4.1120 4.1120
Zn 4.1120 4.1120 6.8534
N 1.3707 1.3707 1.3707
N 4.1120 1.3707 4.1120
N 1.3707 4.1120 4.1120
N 4.1120 4.1120 1.3707
Ti 2.0339 5.4827 5.4827
Ti 4.7752 2.7414 2.7414
Ti 2.7414 2.7414 4.7752
Ti 0.7075 2.7414 2.7414
Ti 2.7414 0.7075 2.7414
Ti 5.4827 8.9316 5.4827
Ti 2.7414 4.7752 2.7414
Ti 2.7414 2.7414 0.7075
Ti 5.4827 2.0339 5.4827
Ti 8.9316 5.4827 5.4827
Ti 5.4827 5.4827 2.0339
Ti 5.4827 5.4827 8.9316
```

***

Calculated density for the records above, in order: 14.42; 8.33; 4.97; 4.49 g cm⁻³
Total moment for the records above, in order: 0.00; 0.00; 1.29; 0.00 μB per cell